Record 1
A plane-wave DFT calculation with PBE was carried out for Pr4Al3Zn after structural relaxation.

Calculated values
excess energy over the best structure of this formula in the dataset = 0.0000 eV/atom
ΔE_f = -0.33 eV per atom

Cell lengths 9.198, 9.198, 9.198 Å; angles 33.54, 33.54, 33.54 degrees
Element x y z (fractional)
Pr 0.123 0.123 0.123
Pr 0.373 0.373 0.373
Pr 0.627 0.627 0.627
Pr 0.877 0.877 0.877
Al 0.250 0.250 0.250
Al 0.500 0.500 0.500
Al 0.750 0.750 0.750
Zn 0.000 0.000 0.000

Record 2
A plane-wave DFT calculation with PBE was carried out for KCdCl3 after structural relaxation.

Calculated values
formation energy (no corrections) = -1.46 eV per atom

Cell lengths 8.955, 4.077, 14.874 Å; angles 90.00, 90.00, 90.00 degrees
Element x y z (fractional)
K 0.070 0.250 0.181
K 0.430 0.750 0.681
K 0.570 0.250 0.319
K 0.930 0.750 0.819
Cd 0.173 0.750 0.446
Cd 0.327 0.250 0.946
Cd 0.673 0.750 0.054
Cd 0.827 0.250 0.554
Cl 0.019 0.750 0.601
Cl 0.165 0.750 0.012
Cl 0.210 0.250 0.791
Cl 0.290 0.750 0.291
Cl 0.335 0.250 0.512
Cl 0.481 0.250 0.101
Cl 0.519 0.750 0.899
Cl 0.665 0.750 0.488
Cl 0.710 0.250 0.709
Cl 0.790 0.750 0.209
Cl 0.835 0.250 0.988
Cl 0.981 0.250 0.399

What total energy values result from the calculations? In sequence: -4.280; -2.967 eV per atom.